A relaxed structure of RbTaPbBr2. Source: the Alexandria database, functional PBE.

Raw formation energy ... 1.14 eV per atom
Total moment ... 3.60 Bohr magnetons per cell

```
RbTaPbBr2
1.0
-2.531 -1.833 5.052
2.813 -5.440 -0.565
4.637 2.078 3.077
Ta Br Rb Pb
1 2 1 1
Direct
0.000 0.500 0.000
0.000 0.000 0.500
0.500 0.000 0.000
0.000 0.000 0.000
0.500 0.500 0.500
```